Entry a
! ZrCoBr2, relaxed, DFT PBEsol; values from VASP
&SYSTEM
  ibrav = 0, nat = 4, ntyp = 3
/
ATOMIC_SPECIES
Zr 91.22 Zr.upf
Co 58.93 Co.upf
Br 79.90 Br.upf
CELL_PARAMETERS angstrom
5.5685 -1.6785 0.0000
5.5685 1.6785 0.0000
-0.0270 0.0000 5.0139
ATOMIC_POSITIONS crystal
Zr 0.0000 0.0000 0.0000
Co 0.3684 0.3684 0.8327
Br 0.3932 0.3932 0.3581
Br 0.6805 0.6805 0.7964
! **Symmetry**: No. 8
! **Magnetization**: 0.00 μB/atom
! **Fermi-level density of states**: 0.8 states/eV/cell

---

Entry b
! ZrCoBr2, relaxed, DFT PBEsol; values from VASP
&SYSTEM
  ibrav = 0, nat = 4, ntyp = 3
/
ATOMIC_SPECIES
Zr 91.22 Zr.upf
Co 58.93 Co.upf
Br 79.90 Br.upf
CELL_PARAMETERS angstrom
3.3171 0.0000 0.0000
0.0000 3.3171 0.0000
0.0000 0.0000 6.2489
ATOMIC_POSITIONS crystal
Zr 0.0000 0.0000 0.0000
Co 0.0000 0.0000 0.5000
Br 0.5000 0.5000 0.2514
Br 0.5000 0.5000 0.7486
! **Symmetry**: No. 123
! **Magnetization**: 0.29 μB/atom
! **Fermi-level density of states**: 5.7 states/eV/cell

---

Going by the computed energies, the most stable comes first: entry a, entry b.

---

Entry a
! Cr2Br, relaxed, DFT PBEsol; values from VASP
&SYSTEM
  ibrav = 0, nat = 3, ntyp = 2
/
ATOMIC_SPECIES
Cr 52.00 Cr.upf
Br 79.90 Br.upf
CELL_PARAMETERS angstrom
-1.4610 1.4610 4.8521
1.4610 -1.4610 4.8521
1.4610 1.4610 -4.8521
ATOMIC_POSITIONS crystal
Cr 0.1870 0.1870 0.0000
Cr 0.8130 0.8130 0.0000
Br 0.5000 0.5000 0.0000
! **Symmetry**: No. 139
! **Magnetization**: 0.00 μB/atom
! **Fermi-level density of states**: 3.3 states/eV/cell

---

Entry b
! Cr2Br, relaxed, DFT PBEsol; values from VASP
&SYSTEM
  ibrav = 0, nat = 6, ntyp = 2
/
ATOMIC_SPECIES
Cr 52.00 Cr.upf
Br 79.90 Br.upf
CELL_PARAMETERS angstrom
4.0008 -1.5734 0.0000
4.0008 1.5734 0.0000
-2.9552 0.0000 8.4411
ATOMIC_POSITIONS crystal
Cr 0.0456 0.0456 0.3625
Cr 0.3452 0.3452 0.4454
Cr 0.6548 0.6548 0.5546
Cr 0.9544 0.9544 0.6375
Br 0.2986 0.2986 0.8159
Br 0.7014 0.7014 0.1841
! **Symmetry**: No. 12
! **Magnetization**: 0.00 μB/atom
! **Fermi-level density of states**: 2.9 states/eV/cell

---

Entry c
! Cr2Br, relaxed, DFT PBEsol; values from VASP
&SYSTEM
  ibrav = 0, nat = 6, ntyp = 2
/
ATOMIC_SPECIES
Cr 52.00 Cr.upf
Br 79.90 Br.upf
CELL_PARAMETERS angstrom
8.2272 -1.5163 0.0000
8.2272 1.5163 0.0000
-0.7733 0.0000 4.6692
ATOMIC_POSITIONS crystal
Cr 0.1974 0.1974 0.1125
Cr 0.2036 0.2036 0.6666
Cr 0.7964 0.7964 0.3334
Cr 0.8026 0.8026 0.8875
Br 0.4073 0.4073 0.6984
Br 0.5927 0.5927 0.3016
! **Symmetry**: No. 12
! **Magnetization**: 0.19 μB/atom
! **Fermi-level density of states**: 3.2 states/eV/cell

---

Going by the computed energies, the most stable comes first: entry b, entry c, entry a.

---

Entry a
! CsCrBr3, relaxed, DFT PBEsol; values from VASP
&SYSTEM
  ibrav = 0, nat = 5, ntyp = 3
/
ATOMIC_SPECIES
Cs 132.91 Cs.upf
Cr 52.00 Cr.upf
Br 79.90 Br.upf
CELL_PARAMETERS angstrom
5.2345 0.0000 0.0000
0.0000 5.2345 0.0000
0.0000 0.0000 5.2345
ATOMIC_POSITIONS crystal
Cs 0.0000 0.0000 0.0000
Cr 0.5000 0.5000 0.5000
Br 0.0000 0.5000 0.5000
Br 0.5000 0.0000 0.5000
Br 0.5000 0.5000 0.0000
! **Symmetry**: No. 221
! **Magnetization**: 0.80 μB/atom
! **Fermi-level density of states**: 0.9 states/eV/cell

---

Entry b
! CsCrBr3, relaxed, DFT PBEsol; values from VASP
&SYSTEM
  ibrav = 0, nat = 10, ntyp = 3
/
ATOMIC_SPECIES
Cs 132.91 Cs.upf
Cr 52.00 Cr.upf
Br 79.90 Br.upf
CELL_PARAMETERS angstrom
7.4526 0.0000 0.0000
-3.7263 6.4541 0.0000
0.0000 0.0000 6.3001
ATOMIC_POSITIONS crystal
Cs 0.3333 0.6667 0.0000
Cs 0.6667 0.3333 0.5000
Cr 0.0000 0.0000 0.2508
Cr 0.0000 0.0000 0.7508
Br 0.1619 0.3237 0.5006
Br 0.1619 0.8381 0.5006
Br 0.3237 0.1619 0.0006
Br 0.6763 0.8381 0.5006
Br 0.8381 0.1619 0.0006
Br 0.8381 0.6763 0.0006
! **Symmetry**: No. 186
! **Magnetization**: 0.80 μB/atom
! **Fermi-level density of states**: 6.3 states/eV/cell

---

Going by the computed energies, the most stable comes first: entry a, entry b.

---

Entry a
! CrCuBr2, relaxed, DFT PBEsol; values from VASP
&SYSTEM
  ibrav = 0, nat = 4, ntyp = 3
/
ATOMIC_SPECIES
Cr 52.00 Cr.upf
Cu 63.55 Cu.upf
Br 79.90 Br.upf
CELL_PARAMETERS angstrom
0.0000 3.3544 3.3544
3.3544 0.0000 3.3544
3.3544 3.3544 0.0000
ATOMIC_POSITIONS crystal
Cr 0.0000 0.0000 0.0000
Cu 0.5000 0.5000 0.5000
Br 0.2500 0.2500 0.2500
Br 0.7500 0.7500 0.7500
! **Symmetry**: No. 225
! **Magnetization**: 1.21 μB/atom
! **Fermi-level density of states**: 3.5 states/eV/cell

---

Entry b
! CrCuBr2, relaxed, DFT PBEsol; values from VASP
&SYSTEM
  ibrav = 0, nat = 4, ntyp = 3
/
ATOMIC_SPECIES
Cr 52.00 Cr.upf
Cu 63.55 Cu.upf
Br 79.90 Br.upf
CELL_PARAMETERS angstrom
3.8527 0.0000 0.0000
0.0000 3.8124 0.0000
-0.5181 0.0000 6.3350
ATOMIC_POSITIONS crystal
Cr 0.0000 0.0000 0.0000
Cu 0.5239 0.5000 0.1130
Br 0.2356 0.5000 0.7684
Br 0.6758 0.0000 0.3340
! **Symmetry**: No. 6
! **Magnetization**: 1.25 μB/atom
! **Fermi-level density of states**: 1.3 states/eV/cell

---

Going by the computed energies, the most stable comes first: entry b, entry a.

---

Entry a
! CrCu2Br, relaxed, DFT PBEsol; values from VASP
&SYSTEM
  ibrav = 0, nat = 4, ntyp = 3
/
ATOMIC_SPECIES
Cr 52.00 Cr.upf
Cu 63.55 Cu.upf
Br 79.90 Br.upf
CELL_PARAMETERS angstrom
3.1909 0.0000 0.0000
0.0000 3.1643 0.0000
-1.5724 0.0000 6.2872
ATOMIC_POSITIONS crystal
Cr 0.0000 0.0000 0.0000
Cu 0.1960 0.0000 0.3976
Cu 0.6129 0.5000 0.2305
Br 0.3684 0.5000 0.7357
! **Symmetry**: No. 6
! **Magnetization**: 1.02 μB/atom
! **Fermi-level density of states**: 2.7 states/eV/cell

---

Entry b
! CrCu2Br, relaxed, DFT PBEsol; values from VASP
&SYSTEM
  ibrav = 0, nat = 4, ntyp = 3
/
ATOMIC_SPECIES
Cr 52.00 Cr.upf
Cu 63.55 Cu.upf
Br 79.90 Br.upf
CELL_PARAMETERS angstrom
-1.5283 2.0814 4.7487
1.5283 -2.0814 4.7487
1.5283 2.0814 -4.7487
ATOMIC_POSITIONS crystal
Cr 0.0000 0.0000 0.0000
Cu 0.2437 0.7437 0.5000
Cu 0.7563 0.2563 0.5000
Br 0.5000 0.5000 0.0000
! **Symmetry**: No. 71
! **Magnetization**: 0.99 μB/atom
! **Fermi-level density of states**: 2.2 states/eV/cell

---

Going by the computed energies, the most stable comes first: entry a, entry b.

---

Entry a
! Cr2FeBr, relaxed, DFT PBEsol; values from VASP
&SYSTEM
  ibrav = 0, nat = 4, ntyp = 3
/
ATOMIC_SPECIES
Cr 52.00 Cr.upf
Fe 55.84 Fe.upf
Br 79.90 Br.upf
CELL_PARAMETERS angstrom
3.1674 0.0000 0.0000
0.0000 3.1674 0.0000
0.0000 0.0000 5.7083
ATOMIC_POSITIONS crystal
Cr 0.0000 0.0000 0.1709
Cr 0.0000 0.0000 0.8291
Fe 0.5000 0.5000 0.0000
Br 0.5000 0.5000 0.5000
! **Symmetry**: No. 123
! **Magnetization**: 0.36 μB/atom
! **Fermi-level density of states**: 4.9 states/eV/cell

---

Entry b
! Cr2FeBr, relaxed, DFT PBEsol; values from VASP
&SYSTEM
  ibrav = 0, nat = 4, ntyp = 3
/
ATOMIC_SPECIES
Cr 52.00 Cr.upf
Fe 55.84 Fe.upf
Br 79.90 Br.upf
CELL_PARAMETERS angstrom
2.6433 -3.3424 0.0000
2.6433 3.3424 0.0000
0.0000 0.0000 2.8797
ATOMIC_POSITIONS crystal
Cr 0.0000 0.5000 0.0000
Cr 0.5000 0.0000 0.0000
Fe 0.0000 0.0000 0.5000
Br 0.5000 0.5000 0.5000
! **Symmetry**: No. 65
! **Magnetization**: 1.26 μB/atom
! **Fermi-level density of states**: 5.0 states/eV/cell

---

Entry c
! Cr2FeBr, relaxed, DFT PBEsol; values from VASP
&SYSTEM
  ibrav = 0, nat = 4, ntyp = 3
/
ATOMIC_SPECIES
Cr 52.00 Cr.upf
Fe 55.84 Fe.upf
Br 79.90 Br.upf
CELL_PARAMETERS angstrom
2.9434 0.0000 0.0000
0.0000 2.9434 0.0000
0.0000 0.0000 6.3394
ATOMIC_POSITIONS crystal
Cr 0.0000 0.0000 0.0000
Cr 0.5000 0.5000 0.2146
Fe 0.0000 0.0000 0.4170
Br 0.5000 0.5000 0.7024
! **Symmetry**: No. 99
! **Magnetization**: 0.64 μB/atom
! **Fermi-level density of states**: 3.2 states/eV/cell

---

Entry d
! Cr2FeBr, relaxed, DFT PBEsol; values from VASP
&SYSTEM
  ibrav = 0, nat = 4, ntyp = 3
/
ATOMIC_SPECIES
Cr 52.00 Cr.upf
Fe 55.84 Fe.upf
Br 79.90 Br.upf
CELL_PARAMETERS angstrom
-1.4549 2.0854 4.1720
1.4549 -2.0854 4.1720
1.4549 2.0854 -4.1720
ATOMIC_POSITIONS crystal
Cr 0.0000 0.0000 0.0000
Cr 0.7341 0.2341 0.5000
Fe 0.2535 0.7535 0.5000
Br 0.4902 0.4902 0.0000
! **Symmetry**: No. 44
! **Magnetization**: 0.37 μB/atom
! **Fermi-level density of states**: 4.5 states/eV/cell

---

Going by the computed energies, the most stable comes first: entry c, entry a, entry d, entry b.

---

Entry a
! CrHgBr2, relaxed, DFT PBEsol; values from VASP
&SYSTEM
  ibrav = 0, nat = 4, ntyp = 3
/
ATOMIC_SPECIES
Cr 52.00 Cr.upf
Hg 200.59 Hg.upf
Br 79.90 Br.upf
CELL_PARAMETERS angstrom
-1.7465 3.3016 4.5239
1.7465 -3.3016 4.5239
1.7465 3.3016 -4.5239
ATOMIC_POSITIONS crystal
Cr 0.0000 0.0000 0.0000
Hg 0.7685 0.2685 0.5000
Br 0.1894 0.6894 0.5000
Br 0.5265 0.5265 0.0000
! **Symmetry**: No. 44
! **Magnetization**: 1.00 μB/atom

---

Entry b
! CrHgBr2, relaxed, DFT PBEsol; values from VASP
&SYSTEM
  ibrav = 0, nat = 4, ntyp = 3
/
ATOMIC_SPECIES
Cr 52.00 Cr.upf
Hg 200.59 Hg.upf
Br 79.90 Br.upf
CELL_PARAMETERS angstrom
3.4094 0.0000 0.0000
0.0000 3.4094 0.0000
0.0000 0.0000 7.9362
ATOMIC_POSITIONS crystal
Cr 0.0000 0.0000 0.0000
Hg 0.5000 0.5000 0.2246
Br 0.0000 0.0000 0.4408
Br 0.5000 0.5000 0.8159
! **Symmetry**: No. 99
! **Magnetization**: 1.00 μB/atom
! **Fermi-level density of states**: 2.2 states/eV/cell

---

Going by the computed energies, the most stable comes first: entry a, entry b.

---

Entry a
! CrHgBr2, relaxed, DFT PBEsol; values from VASP
&SYSTEM
  ibrav = 0, nat = 4, ntyp = 3
/
ATOMIC_SPECIES
Cr 52.00 Cr.upf
Hg 200.59 Hg.upf
Br 79.90 Br.upf
CELL_PARAMETERS angstrom
6.0741 -1.7561 0.0000
6.0741 1.7561 0.0000
-3.2393 0.0000 5.3805
ATOMIC_POSITIONS crystal
Cr 0.0000 0.0000 0.0000
Hg 0.2347 0.2347 0.4827
Br 0.4063 0.4063 0.1356
Br 0.5808 0.5808 0.8387
! **Symmetry**: No. 8
! **Magnetization**: 1.00 μB/atom

---

Entry b
! CrHgBr2, relaxed, DFT PBEsol; values from VASP
&SYSTEM
  ibrav = 0, nat = 4, ntyp = 3
/
ATOMIC_SPECIES
Cr 52.00 Cr.upf
Hg 200.59 Hg.upf
Br 79.90 Br.upf
CELL_PARAMETERS angstrom
3.2894 0.0000 0.0000
0.0000 3.2894 0.0000
0.0000 0.0000 9.1462
ATOMIC_POSITIONS crystal
Cr 0.0000 0.0000 0.0000
Hg 0.0000 0.0000 0.5000
Br 0.5000 0.5000 0.1746
Br 0.5000 0.5000 0.8254
! **Symmetry**: No. 123
! **Magnetization**: 1.02 μB/atom
! **Fermi-level density of states**: 3.6 states/eV/cell

---

Going by the computed energies, the most stable comes first: entry a, entry b.